Record 1
Compound: Sm4AlHg2
Source: Alexandria via LeMat-Bulk
Functional: PBE
Structure: optimized geometry

The structure in extended XYZ format:
```
7
Lattice="-2.6641 2.6641 7.1612 2.6641 -2.6641 7.1612 2.6641 2.6641 -7.1612" Properties=species:S:1:pos:R:3 pbc="T T T"
Sm 2.6641 0.0000 1.6971
Sm 2.6641 0.0000 5.4641
Sm 0.0000 2.6641 1.6971
Sm 0.0000 2.6641 5.4641
Al 0.0000 0.0000 0.0000
Hg 0.0000 0.0000 3.5204
Hg 0.0000 0.0000 10.8021
```

calculated volume = 29.04 Å³ per atom
D(E_F) = 7.7 states/eV/f.u.
ΔH_f (0 K) = -0.296 eV/atom

---

Record 2
Compound: GdAlZn
Source: Alexandria via LeMat-Bulk
Functional: PBE
Structure: optimized geometry

The structure in extended XYZ format:
```
3
Lattice="0.0000 3.2471 3.2471 3.2471 0.0000 3.2471 3.2471 3.2471 0.0000" Properties=species:S:1:pos:R:3 pbc="T T T"
Gd 0.0000 0.0000 0.0000
Al 3.2471 3.2471 3.2471
Zn 4.8706 4.8706 4.8706
```

calculated volume = 22.82 Å³ per atom
D(E_F) = 1.5 states/eV/f.u.
ΔH_f (0 K) = -0.317 eV/atom

---

Record 3
Compound: Lu2CdSn
Source: Alexandria via LeMat-Bulk
Functional: PBE
Structure: optimized geometry

The structure in extended XYZ format:
```
4
Lattice="3.7775 0.0000 0.0000 0.0000 3.7775 0.0000 0.0000 0.0000 7.0327" Properties=species:S:1:pos:R:3 pbc="T T T"
Lu 0.0000 0.0000 1.7592
Lu 0.0000 0.0000 5.2735
Cd 1.8887 1.8887 0.0000
Sn 1.8887 1.8887 3.5164
```

calculated volume = 25.09 Å³ per atom
D(E_F) = 1.7 states/eV/f.u.
ΔH_f (0 K) = -0.415 eV/atom

---

Record 4
Compound: HoTaRe
Source: Alexandria via LeMat-Bulk
Functional: PBE
Structure: optimized geometry

The structure in extended XYZ format:
```
12
Lattice="0.0000 4.8960 10.0689 2.5479 0.0000 10.0689 2.5479 4.8960 0.0000" Properties=species:S:1:pos:R:3 pbc="T T T"
Ho 1.9110 0.3432 7.5517
Ho 3.1849 2.7912 12.5862
Ho 1.9110 7.0007 7.5517
Ho 3.1849 9.4487 12.5862
Ta 1.9110 3.6720 5.7998
Ta 1.9110 3.6720 9.3036
Ta 3.1849 6.1199 10.8343
Ta 3.1849 6.1199 14.3381
Re 0.6370 1.2240 0.0104
Re 0.6370 1.2240 5.0241
Re 4.4589 8.5679 15.1138
Re 4.4589 8.5679 20.1275
```

calculated volume = 20.93 Å³ per atom
D(E_F) = 2.3 states/eV/f.u.
ΔH_f (0 K) = 0.105 eV/atom

---

Record 5
Compound: VSiCCl2
Source: Alexandria via LeMat-Bulk
Functional: PBE
Structure: optimized geometry

The structure in extended XYZ format:
```
5
Lattice="4.8535 0.0000 0.0000 0.0000 4.8535 0.0000 0.0000 0.0000 3.8001" Properties=species:S:1:pos:R:3 pbc="T T T"
V 0.0000 0.0000 0.0000
Si 2.4267 2.4267 1.9000
C 0.0000 0.0000 1.9000
Cl 0.0000 2.4267 0.0000
Cl 2.4267 0.0000 0.0000
```

calculated volume = 17.90 Å³ per atom
uncorrected formation energy = 3.711 eV per formula unit
D(E_F) = 5.5 states/eV/f.u.

---

Record 6
Compound: PmCuGe2S6
Source: Alexandria via LeMat-Bulk
Functional: PBE
Structure: optimized geometry

The structure in extended XYZ format:
```
20
Lattice="6.4846 -5.6982 0.0000 6.4846 5.6982 0.0000 -2.5869 0.0000 6.3119" Properties=species:S:1:pos:R:3 pbc="T T T"
Pm 4.5444 3.9887 4.7339
Pm 5.8379 -3.9887 1.5780
Cu 5.8379 3.3913 1.5780
Cu 4.5444 -3.3913 4.7339
Ge 1.8642 0.8343 5.0016
Ge 3.1576 -0.8343 1.8457
Ge 7.2247 0.8343 4.4663
Ge 8.5181 -0.8343 1.3103
S -0.2360 0.7165 4.1638
S 2.3164 2.8258 5.8796
S 1.0575 -0.7165 1.0078
S 3.4146 0.8652 3.3297
S 6.7724 2.8258 3.5883
S 4.7080 -0.8652 0.1737
S 5.6743 0.8652 6.1382
S 3.6099 -2.8258 2.7236
S 6.9677 -0.8652 2.9822
S 9.3248 0.7165 5.3041
S 8.0659 -2.8258 0.4323
S 10.6183 -0.7165 2.1481
```

calculated volume = 23.32 Å³ per atom
uncorrected formation energy = -6.798 eV per formula unit

---

Record 7
Compound: KCu2P
Source: Alexandria via LeMat-Bulk
Functional: PBE
Structure: optimized geometry

The structure in extended XYZ format:
```
8
Lattice="7.8426 0.0000 0.0000 0.0000 7.8426 0.0000 0.0000 0.0000 4.9381" Properties=species:S:1:pos:R:3 pbc="T T T"
K 0.0000 0.0000 0.0000
K 0.0000 0.0000 2.4690
Cu 0.0000 2.7912 0.0000
Cu 0.0000 5.0514 0.0000
Cu 2.7912 0.0000 2.4690
Cu 5.0514 0.0000 2.4690
P 3.9213 3.9213 1.2345
P 3.9213 3.9213 3.7036
```

calculated volume = 37.97 Å³ per atom
D(E_F) = 1.1 states/eV/f.u.
ΔH_f (0 K) = 1.667 eV/atom

---

Record 8
Compound: CaLaPd2
Source: Alexandria via LeMat-Bulk
Functional: PBE
Structure: optimized geometry

The structure in extended XYZ format:
```
4
Lattice="4.5301 0.0000 0.0000 0.0000 1.9852 5.5028 0.0000 -1.9852 5.5028" Properties=species:S:1:pos:R:3 pbc="T T T"
Ca 0.0000 0.0000 0.0000
La 2.2650 0.0000 3.0351
Pd 0.0000 0.0000 7.9271
Pd 2.2650 0.0000 6.1171
```

calculated volume = 24.74 Å³ per atom
D(E_F) = 1.8 states/eV/f.u.
ΔH_f (0 K) = -0.783 eV/atom

---

Record 9
Compound: Sm2YPa2Rh5
Source: Alexandria via LeMat-Bulk
Functional: PBE
Structure: optimized geometry

The structure in extended XYZ format:
```
20
Lattice="10.9328 0.0000 0.0000 0.0000 10.9328 0.0000 0.0000 0.0000 3.6269" Properties=species:S:1:pos:R:3 pbc="T T T"
Sm 1.8823 3.5841 0.0000
Sm 3.5841 9.0506 0.0000
Sm 7.3487 1.8823 0.0000
Sm 9.0506 7.3487 0.0000
Y 0.0000 0.0000 0.0000
Y 5.4664 5.4664 0.0000
Pa 1.4890 6.9554 0.0000
Pa 3.9774 1.4890 0.0000
Pa 6.9554 9.4438 0.0000
Pa 9.4438 3.9774 0.0000
Rh 0.0000 5.4664 1.8135
Rh 0.5305 8.6585 1.8135
Rh 2.2743 0.5305 1.8135
Rh 3.1921 5.9969 1.8135
Rh 4.9359 3.1921 1.8135
Rh 5.4664 0.0000 1.8135
Rh 5.9969 7.7408 1.8135
Rh 7.7408 4.9359 1.8135
Rh 8.6585 10.4023 1.8135
Rh 10.4023 2.2743 1.8135
```

calculated volume = 21.68 Å³ per atom
D(E_F) = 8.9 states/eV/f.u.
ΔH_f (0 K) = -0.660 eV/atom

---

Record 10
Compound: ScPaMoW
Source: Alexandria via LeMat-Bulk
Functional: PBE
Structure: optimized geometry

The structure in extended XYZ format:
```
4
Lattice="0.0000 3.3684 3.3684 3.3684 0.0000 3.3684 3.3684 3.3684 0.0000" Properties=species:S:1:pos:R:3 pbc="T T T"
Sc 0.0000 0.0000 0.0000
Pa 3.3684 3.3684 3.3684
Mo 5.0525 5.0525 5.0525
W 1.6842 1.6842 1.6842
```

calculated volume = 19.11 Å³ per atom
D(E_F) = 3.4 states/eV/f.u.
ΔH_f (0 K) = 0.124 eV/atom

---

Record 11
Compound: PbF3
Source: Alexandria via LeMat-Bulk
Functional: PBE
Structure: optimized geometry

The structure in extended XYZ format:
```
8
Lattice="-1.9271 1.9271 7.7990 1.9271 -1.9271 7.7990 1.9271 1.9271 -7.7990" Properties=species:S:1:pos:R:3 pbc="T T T"
Pb 0.0000 0.0000 0.0000
Pb 0.0000 1.9271 3.8995
F 2.8907 0.7800 -1.9497
F 1.9271 0.0000 3.8995
F 0.7800 0.9636 1.9497
F 0.0000 0.0000 7.7990
F -0.9636 1.1471 5.8492
F 1.1471 0.9636 9.7487
```

calculated volume = 14.48 Å³ per atom
uncorrected formation energy = -6.486 eV per formula unit
D(E_F) = 2.6 states/eV/f.u.

---

Record 12
Compound: AcPmCo2
Source: Alexandria via LeMat-Bulk
Functional: PBE
Structure: optimized geometry

The structure in extended XYZ format:
```
8
Lattice="4.0230 0.0000 0.0000 0.0000 6.0410 0.0000 0.0000 0.0000 7.9669" Properties=species:S:1:pos:R:3 pbc="T T T"
Ac 0.0000 0.7517 0.0000
Ac 0.0000 5.2893 3.9834
Pm 2.0115 2.2826 2.8582
Pm 2.0115 3.7584 6.8416
Co 0.0000 2.1411 5.1500
Co 0.0000 3.8999 1.1665
Co 2.0115 1.1804 5.5609
Co 2.0115 4.8606 1.5774
```

energy above the most stable polymorph in this dataset = 0.009 eV per atom
calculated volume = 24.20 Å³ per atom
D(E_F) = 5.0 states/eV/f.u.
ΔH_f (0 K) = -0.019 eV/atom

---

Record 13
Compound: LaNd7Mg4
Source: Alexandria via LeMat-Bulk
Functional: PBE
Structure: optimized geometry

The structure in extended XYZ format:
```
12
Lattice="7.7456 -2.9503 0.0000 7.7456 2.9503 0.0000 -5.1719 0.0000 8.4487" Properties=species:S:1:pos:R:3 pbc="T T T"
La 0.0000 0.0000 0.0000
Nd -0.9514 0.0000 3.6032
Nd -1.4441 0.0000 7.4157
Nd 2.4358 0.0000 2.4540
Nd 7.7456 0.0000 0.0000
Nd 7.8836 0.0000 5.9947
Nd 11.7635 0.0000 1.0330
Nd 11.2707 0.0000 4.8455
Mg 1.6471 0.0000 5.5348
Mg 5.5764 0.0000 2.5738
Mg 4.7429 0.0000 5.8749
Mg 8.6723 0.0000 2.9139
```

calculated volume = 32.18 Å³ per atom
D(E_F) = 14.0 states/eV/f.u.
ΔH_f (0 K) = 0.115 eV/atom